No. 1
A plane-wave DFT calculation with GGA-PBEsol was carried out for an optimized crystal structure of AlAg4.

Calculated values
**Calculated formation energy**: -0.3 eV/f.u.
**Crystal system**: tetragonal
**Raw total energy**: -3.518 eV/atom

Cell: 2.913 2.913 19.178 Å, 90.00 90.00 90.00°
Space group I4/mmm (No. 139)
Symmetry-distinct sites (fractional):
Al: 0.000 0.000 0.000 x2
Ag: 0.000 0.000 0.199 x4
Ag: 0.000 0.000 0.406 x4

No. 2
A plane-wave DFT calculation with GGA-PBEsol was carried out for an optimized crystal structure of LiSnP2O7.

Calculated values
**Energy above the lowest structure with this stoichiometry**: 0.012 eV/atom
**Crystal system**: monoclinic
**Raw total energy**: -7.030 eV/atom
**Formation energy without anion corrections**: -2.0703 eV/atom

Cell: 9.037 5.096 13.939 Å, 90.00 115.38 90.00°
Space group Pc (No. 7)
Symmetry-distinct sites (fractional):
Li: 0.000 0.027 0.000 x2
Li: 0.700 0.370 0.745 x2
Sn: 0.319 0.013 0.437 x2
Sn: 0.796 0.490 0.466 x2
P: 0.228 0.486 0.564 x2
P: 0.395 0.477 0.805 x2
P: 0.711 0.047 0.577 x2
P: 0.912 0.116 0.300 x2
O: 0.069 0.340 0.536 x2
O: 0.098 0.175 0.341 x2
O: 0.206 0.241 0.009 x2
O: 0.287 0.275 0.827 x2
O: 0.293 0.425 0.185 x2
O: 0.353 0.307 0.550 x2
O: 0.423 0.270 0.370 x2
O: 0.550 0.118 0.035 x2
O: 0.556 0.370 0.814 x2
O: 0.696 0.317 0.614 x2
O: 0.784 0.058 0.495 x2
O: 0.820 0.339 0.323 x2
O: 0.845 0.122 0.172 x2
O: 0.883 0.144 0.840 x2

No. 3
A plane-wave DFT calculation with GGA-PBEsol was carried out for an optimized crystal structure of Ba5Co4PtClO13.

Calculated values
**Crystal system**: hexagonal
**Raw total energy**: -6.718 eV/atom
**Formation energy without anion corrections**: -1.7636 eV/atom

Cell: 5.6436 5.6436 24.8069 Å, 90.00 90.00 120.00°
Space group P6_3/mmc (No. 194)
Symmetry-distinct sites (fractional):
Ba: 0.0000 0.0000 0.2500 x2
Ba: 0.3333 0.6667 0.0432 x4
Ba: 0.3333 0.6667 0.6316 x4
Co: 0.0000 0.0000 0.1079 x4
Co: 0.3333 0.6667 0.1769 x4
Pt: 0.0000 0.0000 0.0000 x2
Cl: 0.3333 0.6667 0.7500 x2
O: 0.1499 0.2999 0.5550 x12
O: 0.1584 0.3169 0.1513 x12
O: 0.3333 0.6667 0.2500 x2

No. 4
A plane-wave DFT calculation with GGA-PBEsol was carried out for an optimized crystal structure of ZnFe2Co.

Calculated values
**Calculated formation energy**: 0.1 eV/f.u.
**Crystal system**: tetragonal
**Raw total energy**: -6.787 eV/atom

Cell: 3.547 3.547 3.617 Å, 90.00 90.00 90.00°
Space group P4/mmm (No. 123)
Symmetry-distinct sites (fractional):
Zn: 0.000 0.000 0.000 x1
Fe: 0.000 0.500 0.500 x2
Co: 0.500 0.500 0.000 x1

No. 5
A plane-wave DFT calculation with GGA-PBEsol was carried out for an optimized crystal structure of Zn2CdAu.

Calculated values
**Calculated formation energy**: -0.3 eV/f.u.
**Energy above the lowest structure with this stoichiometry**: 0.001 eV/atom
**Crystal system**: tetragonal
**Raw total energy**: -2.156 eV/atom

Cell: 3.992 3.992 8.089 Å, 90.00 90.00 90.00°
Space group I-4m2 (No. 119)
Symmetry-distinct sites (fractional):
Zn: 0.000 0.000 0.000 x2
Zn: 0.000 0.500 0.250 x2
Cd: 0.000 0.500 0.750 x2
Au: 0.000 0.000 0.500 x2

No. 6
A plane-wave DFT calculation with GGA-PBEsol was carried out for an optimized crystal structure of BaBe2Mo.

Calculated values
**Calculated formation energy**: 5.7 eV/f.u.
**Energy above the lowest structure with this stoichiometry**: 0.915 eV/atom
**Crystal system**: cubic
**Raw total energy**: -4.042 eV/atom

Cell: 6.488 6.488 6.488 Å, 90.00 90.00 90.00°
Space group F-43m (No. 216)
Symmetry-distinct sites (fractional):
Ba: 0.000 0.000 0.000 x4
Be: 0.000 0.000 0.500 x4
Be: 0.250 0.250 0.750 x4
Mo: 0.250 0.250 0.250 x4

In the order shown, the computed D(E_F) values come out to 2.42, 0.00, 14.01, 2.33, 2.30, 18.40 states/eV/cell.
In the order shown, the computed calculated volume values come out to 16.3, 13.2, 14.3, 11.4, 16.1, 17.1 Å³ per atom.